Below is a relaxed TbPr5NdDy2 crystal, with properties calculated at the PBE level.

## Properties
E_tot = -4.581 eV per atom
Crystal system = orthorhombic
Symmetry = Cmc2_1
ΔH_f (0 K) = 0.141 eV/atom
Density of states at the Fermi level = 27.89 states/eV per cell

Lattice parameters (Å, degrees): 5.718 10.700 10.804 90.00 90.00 105.50
Fractional positions:
1 Pr 0.016 0.032 0.021
2 Dy 0.883 0.767 0.816
3 Pr 0.705 0.409 0.203
4 Pr 0.984 0.968 0.521
5 Pr 0.480 0.960 0.743
6 Pr 0.719 0.439 0.810
7 Dy 0.889 0.778 0.238
8 Pr 0.390 0.780 0.025
9 Tb 0.590 0.181 0.958
10 Dy 0.117 0.233 0.316
11 Dy 0.111 0.222 0.738
12 Pr 0.520 0.040 0.243
13 Pr 0.610 0.220 0.525
14 Nd 0.799 0.599 0.509
15 Pr 0.281 0.561 0.310
16 Pr 0.295 0.591 0.703
17 Tb 0.410 0.819 0.458
18 Nd 0.201 0.401 0.009